# PBE+U ReMoPO2, relaxed
data_ReMoPO2
_chemical_formula_sum 'Re1 Mo1 P1 O2'
_cell_length_a 3.798
_cell_length_b 3.798
_cell_length_c 5.579
_cell_angle_alpha 90.00
_cell_angle_beta 90.00
_cell_angle_gamma 90.00
_symmetry_space_group_name_H-M 'P 1'
_symmetry_Int_Tables_number 1
loop_
_symmetry_equiv_pos_as_xyz
'x,y,z'
loop_
_atom_site_label
_atom_site_type_symbol
_atom_site_fract_x
_atom_site_fract_y
_atom_site_fract_z
O1 O 0.000 0.500 0.000
O2 O 0.500 0.000 0.000
P1 P 0.000 0.000 0.500
Re1 Re 0.500 0.500 0.500
Mo1 Mo 0.000 0.000 0.000
# Polymorph energy (0 for the lowest one): 0.556 eV per atom
# Fermi-level density of states: 2.89 states/eV per cell
# VASP energy: -0.255 hartree per atom